[1]
First-principles (PBE) data for YbFeCu after structural relaxation, as listed in the Alexandria database.

Total energy in eV/atom: -4.690

a b c (Å): 5.0354 5.3374 7.4709
angles (deg): 90.00 90.00 90.00
Space group Imma (No. 74)
Unique sites:
1 Yb 0.0000 0.2500 0.1207 x4
2 Fe 0.2500 0.2500 0.7500 x4
3 Cu 0.0000 0.0000 0.5000 x4

---

[2]
First-principles (PBE) data for Zn3FeCu after structural relaxation, as listed in the Alexandria database.

Excess energy over the best structure of this formula in the dataset in eV per formula unit: 0.00
Total energy in eV/atom: -3.270

a b c (Å): 4.7327 4.2386 7.0015
angles (deg): 90.00 109.09 90.00
Space group P2_1/m (No. 11)
Unique sites:
1 Zn 0.1407 0.2500 0.0951 x2
2 Zn 0.2582 0.7500 0.7062 x2
3 Zn 0.3412 0.2500 0.5119 x2
4 Fe 0.4729 0.7500 0.0893 x2
5 Cu 0.0711 0.7500 0.3002 x2

---

[3]
First-principles (PBE) data for ZnFe2Cu after structural relaxation, as listed in the Alexandria database.

Total energy in eV/atom: -5.512

a b c (Å): 2.5523 2.5523 7.3619
angles (deg): 90.00 90.00 90.00
Space group P4mm (No. 99)
Unique sites:
1 Zn 0.0000 0.0000 0.0000 x1
2 Fe 0.0000 0.0000 0.5130 x1
3 Fe 0.5000 0.5000 0.7435 x1
4 Cu 0.5000 0.5000 0.2617 x1